Entry 1:
Material: BaHBr
Method: DFT, PBE
State: optimized geometry

Values from the calculation:
As for the electronic total energy: -22.2 eV per cell. Its space group is P6_3/mmc, No. 194. The calculation puts the density of states at the Fermi level at 0.000 states/eV/atom. The calculated volume comes out at 160 Å³/cell. The calculation puts the mass density at 4538 kg/m³.

a b c (Å): 4.485 4.485 9.167
angles (deg): 90.00 90.00 120.00
Sites, in units of the cell vectors:
Ba: 0.333 0.667 0.250
Ba: 0.667 0.333 0.750
Br: 0.000 0.000 0.000
Br: 0.000 0.000 0.500
H: 0.333 0.667 0.750
H: 0.667 0.333 0.250


Entry 2:
Material: Ac6Nd5Mg
Method: DFT, PBE
State: optimized geometry

Values from the calculation:
As for the electronic total energy: -49.8 eV per cell. Its space group is Immm, No. 71. For the formation enthalpy at 0 K, the calculation gives 26 meV/atom. The calculation puts the density of states at the Fermi level at 1.429 states/eV/atom. The calculated volume comes out at 469 Å³/cell. The calculation puts the mass density at 7458 kg/m³.

a b c (Å): 5.479 10.111 10.111
angles (deg): 108.82 105.72 105.72
Sites, in units of the cell vectors:
Nd: 0.500 0.826 0.174
Nd: 0.500 0.174 0.826
Nd: 0.500 0.500 0.500
Nd: 0.000 0.664 0.336
Nd: 0.000 0.336 0.664
Ac: 0.743 0.243 0.243
Ac: 0.245 0.080 0.410
Ac: 0.257 0.757 0.757
Ac: 0.245 0.410 0.080
Ac: 0.755 0.590 0.920
Ac: 0.755 0.920 0.590
Mg: 0.000 0.000 0.000


Entry 3:
Material: Y2MnOsC
Method: DFT, PBE
State: optimized geometry

Values from the calculation:
As for the electronic total energy: -43.2 eV per cell. Its space group is P4/mmm, No. 123. For the formation enthalpy at 0 K, the calculation gives -128 meV/atom. The calculation puts the density of states at the Fermi level at 0.440 states/eV/atom. The calculated volume comes out at 97 Å³/cell. The calculation puts the mass density at 7470 kg/m³.

a b c (Å): 4.975 4.975 3.908
angles (deg): 90.00 90.00 90.00
Sites, in units of the cell vectors:
Mn: 0.500 0.500 0.500
Y: 0.000 0.500 0.000
Y: 0.500 0.000 0.000
Os: 0.000 0.000 0.500
C: 0.000 0.000 0.000